Here is crystalline TaWO3 at its relaxed geometry from Alexandria. Energies are from GGA+U.

Values from the calculation:
DOS at the Fermi energy in states/eV per cell: 3.45
Total energy in eV per atom: -7.32

a b c (Å): 4.0214 4.0214 4.0214
angles (deg): 90.00 90.00 90.00
Sites, in units of the cell vectors:
Ta 0.5000 0.5000 0.5000
O 0.0000 0.5000 0.0000
W 0.0000 0.0000 0.0000
O 0.0000 0.0000 0.5000
O 0.5000 0.0000 0.0000